1.
A plane-wave DFT calculation with PBE was carried out for a relaxed Sr2DyTe3 crystal.

* E above lowest polymorph: 0.0000 eV/atom
* DFT total energy: -4.4584 eV/atom
* crystal system: monoclinic
* V: 34.25 Å³ per atom
* E_form (uncorrected): -1560 meV per atom

abc: 7.928 7.928 7.999
angles: 99.52 99.52 119.99
Fractional positions:
Sr 0.000 0.000 0.000
Sr 0.162 0.838 0.500
Sr 0.500 0.500 0.500
Sr 0.838 0.162 0.500
Dy 0.332 0.668 0.000
Dy 0.668 0.332 0.000
Te 0.079 0.425 0.236
Te 0.268 0.268 0.768
Te 0.425 0.079 0.236
Te 0.575 0.921 0.764
Te 0.732 0.732 0.232
Te 0.921 0.575 0.764

***

2.
A plane-wave DFT calculation with PBE was carried out for a relaxed SrDy2Te4 crystal.

* E above lowest polymorph: 0.0130 eV/atom
* DFT total energy: -4.8369 eV/atom
* crystal system: orthorhombic
* V: 34.83 Å³ per atom
* E_form (uncorrected): -1487 meV per atom

abc: 7.565 7.565 15.251
angles: 90.00 90.00 146.03
Fractional positions:
Sr 0.113 0.887 0.750
Sr 0.887 0.113 0.250
Dy 0.366 0.634 0.568
Dy 0.366 0.634 0.932
Dy 0.634 0.366 0.068
Dy 0.634 0.366 0.432
Te 0.000 0.000 0.000
Te 0.000 0.000 0.500
Te 0.272 0.728 0.116
Te 0.272 0.728 0.384
Te 0.446 0.554 0.750
Te 0.554 0.446 0.250
Te 0.728 0.272 0.616
Te 0.728 0.272 0.884

***

3.
A plane-wave DFT calculation with PBE was carried out for a relaxed SrDy5Te8 crystal.

* DFT total energy: -4.8724 eV/atom
* crystal system: cubic
* V: 38.94 Å³ per atom
* E_form (uncorrected): -1313 meV per atom

abc: 9.169 9.169 9.169
angles: 60.00 60.00 60.00
Fractional positions:
Sr 0.000 0.000 0.000
Dy 0.374 0.374 0.374
Dy 0.374 0.374 0.879
Dy 0.374 0.879 0.374
Dy 0.750 0.750 0.750
Dy 0.879 0.374 0.374
Te 0.138 0.138 0.138
Te 0.138 0.138 0.585
Te 0.138 0.585 0.138
Te 0.148 0.617 0.617
Te 0.585 0.138 0.138
Te 0.617 0.148 0.617
Te 0.617 0.617 0.148
Te 0.617 0.617 0.617

***

4.
A plane-wave DFT calculation with PBE was carried out for a relaxed SrDy2Te crystal.

* DFT total energy: -3.8182 eV/atom
* crystal system: trigonal
* V: 37.89 Å³ per atom
* E_form (uncorrected): -311 meV per atom

abc: 11.321 11.321 11.321
angles: 20.21 20.21 20.21
Fractional positions:
Sr 0.000 0.000 0.000
Dy 0.108 0.108 0.108
Dy 0.892 0.892 0.892
Te 0.500 0.500 0.500

***

5.
A plane-wave DFT calculation with PBE was carried out for a relaxed SrDy2Tl3Te6 crystal.

* DFT total energy: -4.0682 eV/atom
* crystal system: monoclinic
* V: 35.88 Å³ per atom
* E_form (uncorrected): -999 meV per atom

abc: 7.907 7.907 8.384
angles: 99.13 99.13 119.98
Fractional positions:
Sr 0.000 0.000 0.000
Dy 0.331 0.669 0.000
Dy 0.669 0.331 0.000
Tl 0.160 0.840 0.500
Tl 0.500 0.500 0.500
Tl 0.840 0.160 0.500
Te 0.076 0.429 0.223
Te 0.283 0.283 0.784
Te 0.429 0.076 0.223
Te 0.571 0.924 0.777
Te 0.717 0.717 0.216
Te 0.924 0.571 0.777

***

6.
A plane-wave DFT calculation with PBE was carried out for a relaxed Sr3DyTm3Te8 crystal.

* DFT total energy: -4.6954 eV/atom
* crystal system: trigonal
* V: 34.10 Å³ per atom
* E_form (uncorrected): -1482 meV per atom

abc: 9.140 9.140 9.140
angles: 57.70 57.70 57.70
Fractional positions:
Sr 0.000 0.500 0.500
Sr 0.500 0.000 0.500
Sr 0.500 0.500 0.000
Dy 0.500 0.500 0.500
Tm 0.000 0.000 0.500
Tm 0.000 0.500 0.000
Tm 0.500 0.000 0.000
Te 0.236 0.747 0.747
Te 0.242 0.242 0.242
Te 0.253 0.253 0.764
Te 0.253 0.764 0.253
Te 0.747 0.236 0.747
Te 0.747 0.747 0.236
Te 0.758 0.758 0.758
Te 0.764 0.253 0.253

***

7.
A plane-wave DFT calculation with PBE was carried out for a relaxed SrDy3Y2Te6 crystal.

* DFT total energy: -5.2887 eV/atom
* crystal system: monoclinic
* V: 30.44 Å³ per atom
* E_form (uncorrected): -1350 meV per atom

abc: 9.874 9.874 8.851
angles: 103.44 103.44 25.83
Fractional positions:
Sr 0.000 0.000 0.000
Dy 0.000 0.000 0.500
Dy 0.337 0.337 0.182
Dy 0.663 0.663 0.818
Y 0.329 0.329 0.656
Y 0.671 0.671 0.344
Te 0.165 0.165 0.581
Te 0.173 0.173 0.083
Te 0.497 0.497 0.738
Te 0.503 0.503 0.262
Te 0.827 0.827 0.917
Te 0.835 0.835 0.419

***

8.
A plane-wave DFT calculation with PBE was carried out for a relaxed Sr3Dy3YTe8 crystal.

* DFT total energy: -4.8822 eV/atom
* crystal system: trigonal
* V: 34.70 Å³ per atom
* E_form (uncorrected): -1519 meV per atom

abc: 9.186 9.186 9.186
angles: 57.80 57.80 57.80
Fractional positions:
Sr 0.000 0.500 0.500
Sr 0.500 0.000 0.500
Sr 0.500 0.500 0.000
Dy 0.000 0.000 0.500
Dy 0.000 0.500 0.000
Dy 0.500 0.000 0.000
Y 0.500 0.500 0.500
Te 0.239 0.746 0.746
Te 0.244 0.244 0.244
Te 0.254 0.254 0.761
Te 0.254 0.761 0.254
Te 0.746 0.239 0.746
Te 0.746 0.746 0.239
Te 0.756 0.756 0.756
Te 0.761 0.254 0.254

***

9.
A plane-wave DFT calculation with PBE was carried out for a relaxed SrDyTh2 crystal.

* DFT total energy: -4.9774 eV/atom
* crystal system: trigonal
* V: 35.82 Å³ per atom

abc: 13.217 13.217 13.217
angles: 15.48 15.48 15.48
Fractional positions:
Sr 0.000 0.000 0.000
Dy 0.500 0.500 0.500
Th 0.092 0.092 0.092
Th 0.908 0.908 0.908

***

10.
A plane-wave DFT calculation with PBE was carried out for a relaxed SrDyTh crystal.

* DFT total energy: -4.3901 eV/atom
* crystal system: tetragonal
* V: 37.40 Å³ per atom

abc: 8.856 8.856 8.856
angles: 156.29 156.29 33.78
Fractional positions:
Sr 0.000 0.000 0.000
Dy 0.316 0.316 0.000
Th 0.680 0.680 0.000

***

11.
A plane-wave DFT calculation with PBE was carried out for a relaxed SrDy3Tl2 crystal.

* DFT total energy: -3.5123 eV/atom
* crystal system: monoclinic
* V: 31.97 Å³ per atom

abc: 8.873 8.873 9.351
angles: 116.21 116.21 36.04
Fractional positions:
Sr 0.132 0.132 0.187
Sr 0.868 0.868 0.813
Dy 0.063 0.063 0.711
Dy 0.307 0.307 0.015
Dy 0.387 0.387 0.472
Dy 0.613 0.613 0.528
Dy 0.693 0.693 0.985
Dy 0.937 0.937 0.289
Tl 0.223 0.223 0.614
Tl 0.490 0.490 0.833
Tl 0.510 0.510 0.167
Tl 0.777 0.777 0.386

***

12.
A plane-wave DFT calculation with PBE was carried out for a relaxed SrDyTl2 crystal.

* DFT total energy: -2.9635 eV/atom
* crystal system: trigonal
* V: 32.93 Å³ per atom

abc: 10.255 10.255 10.255
angles: 21.92 21.92 21.92
Fractional positions:
Sr 0.000 0.000 0.000
Dy 0.832 0.832 0.832
Tl 0.245 0.245 0.245
Tl 0.421 0.421 0.421